Record 1
DFT (PBE) results for a relaxed structure of DyHo3Er.

Its total magnetization is 0.00 μB per formula unit. The density of states at the Fermi level comes out at 16.15 states/eV per cell. The value obtained for the calculated formation energy is 0.80 kcal/mol of atoms.

The structure belongs to space group P2_1/m (No. 11); the cell edges are 8.5925, 3.5082 and 10.8189 Å and the angles 90.00°, 108.31° and 90.00°. The distinct sites, in fractional coordinates, are Dy at (0.0961, 0.2500, 0.1513), Ho at (0.1186, 0.2500, 0.6529), Ho at (0.3102, 0.7500, 0.4335), Ho at (0.3145, 0.7500, 0.9743) and Er at (0.4886, 0.7500, 0.7462).

Record 2
DFT (PBE) results for a relaxed structure of CdC2F.

The value obtained for the total energy is -3.046 eV per atom. Its total magnetization is 0.00 μB per formula unit. The density of states at the Fermi level comes out at 19.15 states/eV per cell.

The structure belongs to space group Fm-3m (No. 225); the cell edges are 5.6812, 5.6812 and 5.6812 Å and the angles 90.00°, 90.00° and 90.00°. The distinct sites, in fractional coordinates, are Cd at (0.0000, 0.0000, 0.0000), C at (0.2500, 0.2500, 0.2500) and F at (0.0000, 0.0000, 0.5000).

Record 3
DFT (PBE) results for a relaxed structure of SrTl2ZnCl6.

The value obtained for the total energy is -3.324 eV per atom. Its total magnetization is 0.00 μB per formula unit. The density of states at the Fermi level comes out at 0.00 states/eV per cell.

The structure belongs to space group P-1 (No. 2); the cell edges are 7.3262, 7.3297 and 7.3507 Å and the angles 62.14°, 62.26° and 62.20°. The distinct sites, in fractional coordinates, are Sr at (0.0000, 0.0000, 0.0000), Tl at (0.2701, 0.2684, 0.2712), Zn at (0.5000, 0.5000, 0.5000), Cl at (0.1954, 0.3416, 0.7149), Cl at (0.2800, 0.8035, 0.6601) and Cl at (0.3428, 0.7206, 0.1948).

Record 4
DFT (PBE) results for a relaxed structure of LiCu2Se2.

The value obtained for the total energy is -3.631 eV per atom. Its total magnetization is 0.00 μB per formula unit. The density of states at the Fermi level comes out at 3.33 states/eV per cell.

The structure belongs to space group I4/mmm (No. 139); the cell edges are 4.8237, 4.8237 and 8.1029 Å and the angles 90.00°, 90.00° and 90.00°. The distinct sites, in fractional coordinates, are Li at (0.0000, 0.0000, 0.0000), Cu at (0.0000, 0.0000, 0.3290) and Se at (0.0000, 0.5000, 0.2500).

Record 5
DFT (PBE) results for a relaxed structure of Sr2ZrIr.

Its total magnetization is 0.00 μB per formula unit. The density of states at the Fermi level comes out at 4.71 states/eV per cell. The value obtained for the calculated formation energy is -4.54 kcal/mol of atoms.

The structure belongs to space group Pm (No. 6); the cell edges are 3.8535, 3.7192 and 9.4844 Å and the angles 90.00°, 101.39° and 90.00°. The distinct sites, in fractional coordinates, are Sr at (0.0000, 0.0000, 0.0000), Sr at (0.3015, 0.5000, 0.6120), Zr at (0.6639, 0.0000, 0.3311) and Ir at (0.1381, 0.5000, 0.2778).

Record 6
DFT (PBE) results for a relaxed structure of La2CrSi.

The value obtained for the total energy is -6.218 eV per atom. Its total magnetization is 3.83 μB per formula unit. The density of states at the Fermi level comes out at 7.06 states/eV per cell.

The structure belongs to space group I4/mmm (No. 139); the cell edges are 4.9260, 4.9260 and 8.3862 Å and the angles 90.00°, 90.00° and 90.00°. The distinct sites, in fractional coordinates, are La at (0.0000, 0.5000, 0.2500), Cr at (0.0000, 0.0000, 0.0000) and Si at (0.0000, 0.0000, 0.5000).

Record 7
DFT (PBE) results for a relaxed structure of ThAlSi2.

The value obtained for the total energy is -5.706 eV per atom. Its total magnetization is 0.00 μB per formula unit. The density of states at the Fermi level comes out at 5.72 states/eV per cell.

The structure belongs to space group Amm2 (No. 38); the cell edges are 3.7058, 5.4747 and 8.4161 Å and the angles 90.00°, 90.00° and 90.00°. The distinct sites, in fractional coordinates, are Th at (0.0000, 0.0000, 0.0000), Al at (0.5000, 0.0000, 0.5268) and Si at (0.5000, 0.2226, 0.2621).

Record 8
DFT (PBE) results for a relaxed structure of TaNi2Ag.

Its total magnetization is 0.00 μB per formula unit. The density of states at the Fermi level comes out at 15.54 states/eV per cell. The value obtained for the calculated formation energy is 11.07 kcal/mol of atoms.

The structure belongs to space group I-42d (No. 122); the cell edges are 6.7980, 6.7980 and 5.4264 Å and the angles 90.00°, 90.00° and 90.00°. The distinct sites, in fractional coordinates, are Ta at (0.0000, 0.0000, 0.0000), Ni at (0.2318, 0.7500, 0.1250) and Ag at (0.0000, 0.0000, 0.5000).

Record 9
DFT (PBE) results for a relaxed structure of Ti2ZnRh.

Its total magnetization is 0.00 μB per formula unit. The density of states at the Fermi level comes out at 2.95 states/eV per cell. The value obtained for the calculated formation energy is -10.71 kcal/mol of atoms.

The structure belongs to space group P4/mmm (No. 123); the cell edges are 3.1662, 3.1662 and 6.0949 Å and the angles 90.00°, 90.00° and 90.00°. The distinct sites, in fractional coordinates, are Ti at (0.0000, 0.0000, 0.2452), Zn at (0.5000, 0.5000, 0.5000) and Rh at (0.5000, 0.5000, 0.0000).

Record 10
DFT (PBE) results for a relaxed structure of TlBi2OsC.

Its total magnetization is 0.00 μB per formula unit. The density of states at the Fermi level comes out at 4.22 states/eV per cell. The value obtained for the calculated formation energy is 19.24 kcal/mol of atoms.

The structure belongs to space group P4/mmm (No. 123); the cell edges are 5.3956, 5.3956 and 3.9226 Å and the angles 90.00°, 90.00° and 90.00°. The distinct sites, in fractional coordinates, are Tl at (0.0000, 0.0000, 0.0000), Bi at (0.0000, 0.5000, 0.5000), Os at (0.5000, 0.5000, 0.0000) and C at (0.5000, 0.5000, 0.5000).

Record 11
DFT (PBE) results for a relaxed structure of IrPb.

Its total magnetization is 0.00 μB per formula unit. The density of states at the Fermi level comes out at 10.47 states/eV per cell. The value obtained for the calculated formation energy is 20.82 kcal/mol of atoms.

The structure belongs to space group P6_3/mmc (No. 194); the cell edges are 5.0901, 5.0901 and 7.8906 Å and the angles 90.00°, 90.00° and 120.00°. The distinct sites, in fractional coordinates, are Ir at (0.3333, 0.6667, 0.0885), Pb at (0.0000, 0.0000, 0.2500) and Pb at (0.3333, 0.6667, 0.7500).

Record 12
DFT (PBE) results for a relaxed structure of Li3MgCl4.

The value obtained for the total energy is -3.324 eV per atom. Its total magnetization is 0.68 μB per formula unit. The density of states at the Fermi level comes out at 5.35 states/eV per cell.

The structure belongs to space group I-42m (No. 121); the cell edges are 5.8335, 5.8335 and 11.2690 Å and the angles 90.00°, 90.00° and 90.00°. The distinct sites, in fractional coordinates, are Li at (0.0000, 0.0000, 0.0000), Li at (0.0000, 0.5000, 0.2500), Mg at (0.0000, 0.0000, 0.5000) and Cl at (0.2283, 0.2283, 0.8655).

Among the records above, which one has the highest density of states at the Fermi level?
CdC2F